Entry from the Alexandria database: an optimized crystal structure of Li2YHg (GGA-PBEsol).

abc: 6.133 6.133 3.396
angles: 104.94 104.94 121.58
Fractional positions:
1 Li 0.000 0.500 0.000
2 Li 0.500 0.000 0.000
3 Y 0.000 0.000 0.500
4 Hg 0.500 0.500 0.500

Formation energy   -0.111 eV/atom
Calculated total energy   -11.76 eV per cell
Total magnetic moment   0.00 μB/cell
V   92.39 Å³ per cell
SG   C2/m
Polymorph energy (0 for the lowest one)   0.149 eV per atom